(1)
VASP calculation (GGA-PBE) on crystalline Cs6K5Hg at its relaxed geometry.

Summary:
VASP energy = -0.94 eV/atom

Cell lengths 15.4516, 19.6400, 7.6150 Å; angles 90.00, 119.39, 90.00 degrees
Space group C2/m (No. 12)
Asymmetric unit:
Cs 0.1748 0.0000 0.1766 [4 per cell]
Cs 0.1983 0.1534 0.6983 [8 per cell]
K 0.0000 0.2295 0.0000 [4 per cell]
K 0.0000 0.3717 0.5000 [4 per cell]
K 0.0000 0.5000 0.0000 [2 per cell]
Hg 0.0000 0.0000 0.5000 [2 per cell]

(2)
VASP calculation (GGA-PBE) on crystalline Cs3KHg at its relaxed geometry.

Summary:
ΔE to the lowest computed polymorph = 10 meV per atom

Cell lengths 7.5380, 7.5380, 7.5380 Å; angles 90.00, 90.00, 90.00 degrees
Space group Pm-3m (No. 221)
Asymmetric unit:
Cs 0.0000 0.0000 0.5000 [3 per cell]
K 0.5000 0.5000 0.5000 [1 per cell]
Hg 0.0000 0.0000 0.0000 [1 per cell]

(3)
VASP calculation (GGA-PBE) on crystalline CsK12Hg5 at its relaxed geometry.

Summary:
VASP energy = -0.99 eV/atom

Cell lengths 11.8339, 11.9903, 13.5603 Å; angles 90.00, 90.00, 90.00 degrees
Space group Immm (No. 71)
Asymmetric unit:
Cs 0.0000 0.0000 0.0000 [2 per cell]
K 0.0000 0.1984 0.2855 [8 per cell]
K 0.1863 0.5000 0.3139 [8 per cell]
K 0.2300 0.3245 0.0000 [8 per cell]
Hg 0.0000 0.0000 0.5000 [2 per cell]
Hg 0.0000 0.3737 0.5000 [4 per cell]
Hg 0.0000 0.5000 0.1100 [4 per cell]

| no. | V (Å³ per atom) |
| --- | --- |
| 1 | 83.90 |
| 2 | 85.67 |
| 3 | 53.45 |